A crystal of CaZr2Os relaxed with PBEsol, computed with SCAN.

a = 3.409 Å, b = 3.409 Å, c = 9.715 Å
α = 79.89°, β = 79.89°, γ = 60.00°
Positions (direct):
Os 0.000 0.000 0.000
Zr 0.729 0.729 0.814
Zr 0.271 0.271 0.186
Ca 0.500 0.500 0.500

Properties
- Space-group type: R-3m, No. 166
- DFT formation energy: 3.2 kcal/mol of atoms
- E: -35.596 eV/atom
- DOS at the Fermi energy: 0.848 states/eV per atom
- Mass density: 7.2 g cm⁻³

A crystal of CaZrOs relaxed with PBEsol, computed with SCAN.

a = 3.278 Å, b = 3.278 Å, c = 6.720 Å
α = 104.12°, β = 104.12°, γ = 90.00°
Positions (direct):
Zr 0.289 0.289 0.578
Os 0.684 0.684 0.367
Ca 0.027 0.027 0.054

Properties
- Space-group type: I4mm, No. 107
- DFT formation energy: -3.7 kcal/mol of atoms
- E: -37.576 eV/atom
- DOS at the Fermi energy: 0.370 states/eV per atom
- Mass density: 7.9 g cm⁻³

A crystal of Ca2ZrOs relaxed with PBEsol, computed with SCAN.

a = 3.012 Å, b = 3.012 Å, c = 10.579 Å
α = 90.00°, β = 90.00°, γ = 113.19°
Positions (direct):
Zr 0.500 0.500 0.000
Ca 0.000 0.000 0.290
Ca 0.000 0.000 0.710
Os 0.500 0.500 0.500

Properties
- Space-group type: Cmmm, No. 65
- DFT formation energy: 14.2 kcal/mol of atoms
- E: -29.861 eV/atom
- Excess energy over the best structure of this formula in the dataset: 2.057 eV per formula unit
- DOS at the Fermi energy: 0.717 states/eV per atom
- Mass density: 6.8 g cm⁻³